A plane-wave DFT calculation with PBE was carried out for crystalline BeTe2O at its relaxed geometry.

## Properties
ΔE_f (raw)	405	meV/atom
calculated volume	16.3	A^3/atom
SG	Fm-3m
DFT total energy	-3.3369	eV/atom
total magnetic moment	0.000	μB/cell

Lattice parameters (Å, degrees): 4.5198 4.5198 4.5198 60.00 60.00 60.00
Last column: nearest neighbours and their distance in Å.
Fractional coordinates of all 4 atoms:
O1 0.5000 0.5000 0.5000  8 Te 2.77
Be1 0.0000 0.0000 0.0000  8 Te 2.77
Te1 0.7500 0.7500 0.7500  4 O 2.77, 4 Be 2.77
Te2 0.2500 0.2500 0.2500  4 O 2.77, 4 Be 2.77